1.
{
  "formula": "Li5Tb3H12",
  "functional": "PBE-GGA",
  "state": "optimized geometry",
  "lattice": [[-3.707, 5.703, 7.742], [-7.757, -2.962, -6.105], [4.733, -8.319, 3.821]],
  "species": ["H", "Tb", "Li", "Tb", "H", "H", "H", "H", "H", "H", "Li", "H", "H", "H", "H", "H", "Tb", "Li", "Li", "H", "Li", "Tb", "H", "H", "Li", "H", "Li", "Li", "Li", "Tb", "H", "Tb", "Li", "Li", "H", "H", "H", "H", "Tb", "Li", "Li", "Tb", "H", "H", "H", "Li", "H", "H", "H", "Tb", "Li", "H", "Tb", "Li", "H", "H", "H", "H", "H", "H", "H", "Li", "Li", "H", "H", "H", "H", "Li", "H", "H", "Tb", "Li", "H", "H", "H", "H", "H", "Tb", "H", "H"],
  "fractional_positions": [[0.087, 0.908, 0.370], [0.750, 0.375, 0.125], [0.875, 0.625, 0.750], [0.750, 0.875, 0.625], [0.821, 0.908, 0.038], [0.462, 0.783, 0.870], [0.717, 0.130, 0.038], [0.630, 0.038, 0.217], [0.587, 0.717, 0.679], [0.908, 0.821, 0.538], [0.000, 0.000, 0.500], [0.413, 0.130, 0.592], [0.679, 0.217, 0.587], [0.592, 0.962, 0.679], [0.870, 0.587, 0.908], [0.217, 0.679, 0.087], [0.375, 0.750, 0.625], [0.875, 0.250, 0.625], [0.000, 0.000, 0.000], [0.370, 0.408, 0.087], [0.375, 0.125, 0.750], [0.625, 0.375, 0.750], [0.538, 0.217, 0.130], [0.592, 0.630, 0.413], [0.125, 0.375, 0.250], [0.038, 0.630, 0.717], [0.250, 0.875, 0.125], [0.500, 0.000, 0.500], [0.375, 0.250, 0.125], [0.875, 0.750, 0.125], [0.587, 0.870, 0.408], [0.125, 0.250, 0.875], [0.125, 0.750, 0.375], [0.750, 0.625, 0.375], [0.538, 0.321, 0.908], [0.962, 0.370, 0.283], [0.130, 0.717, 0.538], [0.130, 0.413, 0.092], [0.875, 0.125, 0.250], [0.500, 0.500, 0.000], [0.500, 0.500, 0.500], [0.375, 0.625, 0.250], [0.783, 0.321, 0.913], [0.821, 0.913, 0.283], [0.908, 0.087, 0.870], [0.000, 0.500, 0.500], [0.283, 0.870, 0.962], [0.870, 0.283, 0.462], [0.321, 0.783, 0.413], [0.625, 0.250, 0.375], [0.625, 0.875, 0.250], [0.087, 0.179, 0.217], [0.125, 0.875, 0.750], [0.750, 0.125, 0.875], [0.408, 0.038, 0.321], [0.370, 0.962, 0.783], [0.679, 0.462, 0.592], [0.283, 0.413, 0.821], [0.413, 0.283, 0.321], [0.092, 0.179, 0.462], [0.462, 0.679, 0.092], [0.250, 0.375, 0.625], [0.500, 0.000, 0.000], [0.717, 0.587, 0.179], [0.179, 0.087, 0.717], [0.913, 0.821, 0.783], [0.038, 0.408, 0.821], [0.625, 0.750, 0.875], [0.179, 0.092, 0.962], [0.092, 0.913, 0.130], [0.250, 0.625, 0.875], [0.000, 0.500, 0.000], [0.408, 0.370, 0.587], [0.217, 0.538, 0.630], [0.321, 0.538, 0.408], [0.783, 0.462, 0.370], [0.913, 0.092, 0.630], [0.250, 0.125, 0.375], [0.962, 0.592, 0.179], [0.630, 0.592, 0.913]],
  "crystal_system": "cubic",
  "magnetic_moment_mub_per_fu": 0.0,
  "spacegroup": "Ia-3d (230)",
  "dft_energy_ev_per_atom": -3.639
}

=====

2.
{
  "formula": "Li3Tb5H12",
  "functional": "PBE-GGA",
  "state": "optimized geometry",
  "lattice": [[10.866, 0.000, 0.000], [-3.622, 10.244, 0.000], [-3.622, -5.122, 8.872]],
  "species": ["Tb", "H", "Li", "H", "Tb", "H", "H", "Li", "Tb", "H", "H", "Tb", "H", "H", "H", "H", "H", "Tb", "H", "H", "Li", "Tb", "H", "Tb", "H", "H", "Li", "H", "H", "Tb", "Tb", "H", "Tb", "Tb", "H", "H", "Tb", "H", "H", "H", "H", "H", "H", "H", "Tb", "Tb", "Li", "Tb", "H", "Li", "H", "H", "H", "Li", "Li", "H", "H", "Li", "Tb", "H", "Tb", "H", "H", "H", "H", "H", "H", "H", "Tb", "Li", "Li", "Tb", "H", "H", "Tb", "H", "H", "H", "Li", "H"],
  "fractional_positions": [[0.875, 0.625, 0.750], [0.444, 0.349, 0.771], [0.875, 0.125, 0.250], [0.944, 0.674, 0.595], [0.375, 0.250, 0.125], [0.921, 0.771, 0.326], [0.771, 0.921, 0.826], [0.125, 0.250, 0.875], [0.375, 0.125, 0.750], [0.556, 0.905, 0.826], [0.826, 0.421, 0.771], [0.500, 0.000, 0.000], [0.579, 0.405, 0.349], [0.095, 0.651, 0.921], [0.444, 0.095, 0.174], [0.849, 0.079, 0.405], [0.826, 0.405, 0.556], [0.500, 0.500, 0.500], [0.579, 0.174, 0.729], [0.421, 0.595, 0.651], [0.625, 0.375, 0.750], [0.625, 0.875, 0.250], [0.771, 0.849, 0.444], [0.625, 0.750, 0.875], [0.651, 0.556, 0.729], [0.595, 0.421, 0.151], [0.125, 0.875, 0.750], [0.921, 0.151, 0.095], [0.674, 0.944, 0.095], [0.250, 0.875, 0.125], [0.750, 0.125, 0.875], [0.271, 0.944, 0.349], [0.125, 0.750, 0.375], [0.250, 0.375, 0.625], [0.174, 0.579, 0.229], [0.326, 0.271, 0.921], [0.125, 0.375, 0.250], [0.174, 0.595, 0.444], [0.151, 0.229, 0.056], [0.229, 0.079, 0.174], [0.405, 0.579, 0.849], [0.729, 0.056, 0.651], [0.405, 0.826, 0.056], [0.271, 0.326, 0.421], [0.500, 0.000, 0.500], [0.000, 0.000, 0.500], [0.250, 0.625, 0.875], [0.000, 0.500, 0.500], [0.905, 0.349, 0.079], [0.375, 0.625, 0.250], [0.056, 0.326, 0.405], [0.079, 0.849, 0.905], [0.151, 0.921, 0.595], [0.250, 0.125, 0.375], [0.750, 0.875, 0.625], [0.349, 0.905, 0.579], [0.229, 0.151, 0.556], [0.875, 0.750, 0.125], [0.000, 0.500, 0.000], [0.421, 0.826, 0.271], [0.750, 0.625, 0.375], [0.905, 0.556, 0.326], [0.674, 0.729, 0.079], [0.595, 0.174, 0.944], [0.326, 0.056, 0.905], [0.651, 0.095, 0.421], [0.729, 0.674, 0.579], [0.095, 0.444, 0.674], [0.875, 0.250, 0.625], [0.625, 0.250, 0.375], [0.750, 0.375, 0.125], [0.500, 0.500, 0.000], [0.556, 0.651, 0.229], [0.056, 0.729, 0.151], [0.000, 0.000, 0.000], [0.079, 0.229, 0.674], [0.944, 0.271, 0.849], [0.849, 0.771, 0.944], [0.375, 0.750, 0.625], [0.349, 0.444, 0.271]],
  "crystal_system": "cubic",
  "magnetic_moment_mub_per_fu": 0.0,
  "spacegroup": "Ia-3d (230)",
  "dft_energy_ev_per_atom": -3.894
}